# NdY2Co

A geometry-optimized NdY2Co structure (PBE-GGA, the Alexandria database).

Results
The calculation puts the energy above the most stable polymorph in this dataset at 68 meV per atom.

The structure in CIF format:
```
data_NdY2Co
_cell_length_a 3.429
_cell_length_b 3.429
_cell_length_c 9.020
_cell_angle_alpha 90.00
_cell_angle_beta 90.00
_cell_angle_gamma 90.00
_symmetry_space_group_name_H-M 'P 4/m m m'
_symmetry_Int_Tables_number 123
_symmetry_space_group_name_Hall '-P 4 2'
loop_
_atom_site_label
_atom_site_type_symbol
_atom_site_fract_x
_atom_site_fract_y
_atom_site_fract_z
_atom_site_occupancy
Nd1 Nd 0.000 0.000 0.000 1
Y1 Y 0.500 0.500 0.321 1
Co1 Co 0.000 0.000 0.500 1
```

---

# NdY3Co

A geometry-optimized NdY3Co structure (PBE-GGA, the Alexandria database).

Results
The calculation puts the energy above the most stable polymorph in this dataset at 25 meV per atom.

The structure in CIF format:
```
data_NdY3Co
_cell_length_a 5.326
_cell_length_b 5.326
_cell_length_c 5.326
_cell_angle_alpha 90.00
_cell_angle_beta 90.00
_cell_angle_gamma 90.00
_symmetry_space_group_name_H-M 'P m -3 m'
_symmetry_Int_Tables_number 221
_symmetry_space_group_name_Hall '-P 4 2 3'
loop_
_atom_site_label
_atom_site_type_symbol
_atom_site_fract_x
_atom_site_fract_y
_atom_site_fract_z
_atom_site_occupancy
Nd1 Nd 0.000 0.000 0.000 1
Y1 Y 0.000 0.500 0.500 1
Co1 Co 0.500 0.500 0.500 1
```

---

# Nd4YCo

A geometry-optimized Nd4YCo structure (PBE-GGA, the Alexandria database).

Results
The total energy is -130.11 eV/cell.

The structure in CIF format:
```
data_Nd4YCo
_cell_length_a 17.933
_cell_length_b 7.312
_cell_length_c 6.063
_cell_angle_alpha 90.00
_cell_angle_beta 109.75
_cell_angle_gamma 90.00
_symmetry_space_group_name_H-M 'C 1 2/m 1'
_symmetry_Int_Tables_number 12
loop_
_symmetry_equiv_pos_as_xyz
'x,y,z'
'-x,-y,-z'
'-x,y,-z'
'x,-y,z'
'x+1/2,y+1/2,z'
'-x+1/2,-y+1/2,-z'
'-x+1/2,y+1/2,-z'
'x+1/2,-y+1/2,z'
loop_
_atom_site_label
_atom_site_type_symbol
_atom_site_fract_x
_atom_site_fract_y
_atom_site_fract_z
_atom_site_occupancy
Nd1 Nd 0.000 0.235 0.000 1
Nd2 Nd 0.118 0.248 0.619 1
Nd3 Nd 0.175 0.500 0.175 1
Y1 Y 0.197 0.000 0.198 1
Co1 Co 0.000 0.500 0.314 1
```

---

# Nd2YCo2

A geometry-optimized Nd2YCo2 structure (PBE-GGA, the Alexandria database).

Results
The calculation puts the energy above the most stable polymorph in this dataset at 0 meV per atom.

The structure in CIF format:
```
data_Nd2YCo2
_cell_length_a 7.337
_cell_length_b 7.337
_cell_length_c 4.327
_cell_angle_alpha 90.00
_cell_angle_beta 90.00
_cell_angle_gamma 90.00
_symmetry_space_group_name_H-M 'P 4/m b m'
_symmetry_Int_Tables_number 127
_symmetry_space_group_name_Hall '-P 4 2ab'
loop_
_atom_site_label
_atom_site_type_symbol
_atom_site_fract_x
_atom_site_fract_y
_atom_site_fract_z
_atom_site_occupancy
Nd1 Nd 0.175 0.325 0.000 1
Y1 Y 0.000 0.000 0.500 1
Co1 Co 0.108 0.608 0.500 1
```

---

# Nd2Y2Co

A geometry-optimized Nd2Y2Co structure (PBE-GGA, the Alexandria database).

Results
The total energy is -119.08 eV/cell.

The structure in CIF format:
```
data_Nd2Y2Co
_cell_length_a 7.615
_cell_length_b 11.874
_cell_length_c 7.128
_cell_angle_alpha 90.00
_cell_angle_beta 113.99
_cell_angle_gamma 90.00
_symmetry_space_group_name_H-M 'C 1 2/m 1'
_symmetry_Int_Tables_number 12
loop_
_symmetry_equiv_pos_as_xyz
'x,y,z'
'-x,-y,-z'
'-x,y,-z'
'x,-y,z'
'x+1/2,y+1/2,z'
'-x+1/2,-y+1/2,-z'
'-x+1/2,y+1/2,-z'
'x+1/2,-y+1/2,z'
loop_
_atom_site_label
_atom_site_type_symbol
_atom_site_fract_x
_atom_site_fract_y
_atom_site_fract_z
_atom_site_occupancy
Nd1 Nd 0.035 0.230 0.255 1
Y1 Y 0.234 0.500 0.881 1
Y2 Y 0.247 0.000 0.609 1
Co1 Co 0.000 0.386 0.500 1
```

---

# NdY2Co9

A geometry-optimized NdY2Co9 structure (PBE-GGA, the Alexandria database).

Results
The total energy is -249.52 eV/cell.

The structure in CIF format:
```
data_NdY2Co9
_cell_length_a 5.0289
_cell_length_b 5.0289
_cell_length_c 24.3468
_cell_angle_alpha 90.00
_cell_angle_beta 90.00
_cell_angle_gamma 120.00
_symmetry_space_group_name_H-M 'R -3 m'
_symmetry_Int_Tables_number 166
_symmetry_space_group_name_Hall '-R 3 2"'
loop_
_atom_site_label
_atom_site_type_symbol
_atom_site_fract_x
_atom_site_fract_y
_atom_site_fract_z
_atom_site_occupancy
Nd1 Nd 0.0000 0.0000 0.0000 1
Y1 Y 0.0000 0.0000 0.1402 1
Co1 Co 0.0000 0.0000 0.3350 1
Co2 Co 0.0000 0.0000 0.5000 1
Co3 Co 0.0029 0.5015 0.9182 1
```

---

Total magnetization (computed, μB/f.u.): 0.66; 0.00; 0.00; 0.00; 0.00; 10.46